# 1
La2DyC after structural relaxation, computed with GGA-PBE.

The structure in CIF format:
```
data_La2DyC
_space_group_name_H-M_alt 'R -3 m'
_space_group_IT_number 166
_space_group_name_Hall '-R 3 2"'
_cell_length_a 4.0785
_cell_length_b 4.0785
_cell_length_c 29.3445
_cell_angle_alpha 90.00
_cell_angle_beta 90.00
_cell_angle_gamma 120.00
loop_
_atom_site_label
_atom_site_type_symbol
_atom_site_fract_x
_atom_site_fract_y
_atom_site_fract_z
La1 La 0.0000 0.0000 0.0712
Dy1 Dy 0.0000 0.0000 0.5000
C1 C 0.0000 0.0000 0.0000
```

Computed properties:
The calculation puts the formation energy at 0.94 eV/atom. For the density, the calculation gives 5330 kg/m³. The calculation puts the density of states at the Fermi level at 6.48 states/eV/f.u. As for the final energy: -59.7 eV per cell. As for the spin magnetization: 0.0 μB/f.u.



# 2
CsAcSeO4 after structural relaxation, computed with GGA-PBE.

The structure in CIF format:
```
data_CsAcSeO4
_space_group_name_H-M_alt 'F -4 3 m'
_space_group_IT_number 216
_space_group_name_Hall 'F -4 2 3'
_cell_length_a 9.817
_cell_length_b 9.817
_cell_length_c 9.817
_cell_angle_alpha 90.00
_cell_angle_beta 90.00
_cell_angle_gamma 90.00
loop_
_atom_site_label
_atom_site_type_symbol
_atom_site_fract_x
_atom_site_fract_y
_atom_site_fract_z
Cs1 Cs 0.000 0.000 0.000
Ac1 Ac 0.250 0.250 0.750
Se1 Se 0.000 0.000 0.500
O1 O 0.113 0.113 0.613
```

Computed properties:
For the density, the calculation gives 3530 kg/m³. As for the final energy: -155.9 eV per cell. As for the spin magnetization: 0.0 μB/f.u. The formation energy (no corrections) comes out at -1.5264 eV per atom.